Record 1
# CsCaP2S

A relaxed CsCaP2S crystal (GGA-PBEsol, Alexandria).

```
CsCaP2S
1.0
5.2445 0.0000 0.0000
0.0000 5.2445 0.0000
0.0000 0.0000 5.3075
Cs Ca P S
1 1 2 1
Cartesian
0.0000 0.0000 0.0000
2.6223 2.6223 2.6538
0.0000 2.6223 0.0000
2.6223 0.0000 0.0000
0.0000 0.0000 2.6538
```

Calculated values
total energy = -14.25 eV for the cell shown
crystal system = tetragonal
ρ = 3.0 g/cm3
raw formation energy = 0.958 eV per atom
spin magnetization = 0.00 μB/cell

Record 2
# LiCa2Ir

A relaxed LiCa2Ir crystal (GGA-PBEsol, Alexandria).

```
LiCa2Ir
1.0
4.2831 0.0000 0.0000
0.0000 4.0376 0.0000
0.0000 0.0000 10.5325
Li Ca Ir
2 4 2
Cartesian
0.0000 0.0000 0.0000
0.0000 2.0188 5.2663
0.0000 0.0000 7.3050
0.0000 2.0188 2.0388
2.1416 0.0000 4.3853
2.1416 2.0188 9.6515
2.1416 0.0000 1.2866
2.1416 2.0188 6.5528
```

Calculated values
total energy = -33.07 eV for the cell shown
crystal system = orthorhombic
ρ = 5.1 g/cm3
spin magnetization = 0.00 μB/cell
E_form = -0.1202 eV per atom

Record 3
# ZnGaRhPb2

A relaxed ZnGaRhPb2 crystal (GGA-PBEsol, Alexandria).

```
ZnGaRhPb2
1.0
5.1416 0.0000 0.0000
0.0000 5.1416 0.0000
0.0000 0.0000 4.7834
Zn Ga Rh Pb
1 1 1 2
Cartesian
0.0000 0.0000 0.0000
2.5708 2.5708 0.0000
0.0000 0.0000 2.3917
0.0000 2.5708 2.3917
2.5708 0.0000 2.3917
```

Calculated values
total energy = -19.89 eV for the cell shown
crystal system = tetragonal
ρ = 8.6 g/cm3
spin magnetization = 0.00 μB/cell
E_form = 0.2333 eV per atom

Record 4
# Li5Cu3O6

A relaxed Li5Cu3O6 crystal (GGA-PBEsol, Alexandria).

```
Li5Cu3O6
1.0
4.7047 0.0000 0.0000
0.6349 5.1459 0.0000
1.1355 2.3293 5.9474
Li Cu O
5 3 6
Cartesian
0.0000 0.0000 0.0000
1.6779 3.9950 4.1248
2.2757 0.5926 0.4958
3.9507 3.2658 4.0033
4.6297 4.8264 2.2992
1.6242 1.4804 3.1773
4.0887 5.7431 5.1189
4.6244 2.4501 1.1718
0.7153 0.8292 1.6229
2.5473 2.2407 4.7117
3.2077 5.0419 3.6217
3.9304 4.0990 0.6310
4.9276 4.0679 5.5687
5.3450 3.0678 2.7812
```

Calculated values
total energy = -72.55 eV for the cell shown
crystal system = triclinic
ρ = 3.7 g/cm3
raw formation energy = -1.301 eV per atom
spin magnetization = 1.94 μB/cell

Repeat the third record exactly.
# ZnGaRhPb2

A relaxed ZnGaRhPb2 crystal (GGA-PBEsol, Alexandria).

```
ZnGaRhPb2
1.0
5.1416 0.0000 0.0000
0.0000 5.1416 0.0000
0.0000 0.0000 4.7834
Zn Ga Rh Pb
1 1 1 2
Cartesian
0.0000 0.0000 0.0000
2.5708 2.5708 0.0000
0.0000 0.0000 2.3917
0.0000 2.5708 2.3917
2.5708 0.0000 2.3917
```

Calculated values
total energy = -19.89 eV for the cell shown
crystal system = tetragonal
ρ = 8.6 g/cm3
spin magnetization = 0.00 μB/cell
E_form = 0.2333 eV per atom

Copy entry 1 word for word.
# CsCaP2S

A relaxed CsCaP2S crystal (GGA-PBEsol, Alexandria).

```
CsCaP2S
1.0
5.2445 0.0000 0.0000
0.0000 5.2445 0.0000
0.0000 0.0000 5.3075
Cs Ca P S
1 1 2 1
Cartesian
0.0000 0.0000 0.0000
2.6223 2.6223 2.6538
0.0000 2.6223 0.0000
2.6223 0.0000 0.0000
0.0000 0.0000 2.6538
```

Calculated values
total energy = -14.25 eV for the cell shown
crystal system = tetragonal
ρ = 3.0 g/cm3
raw formation energy = 0.958 eV per atom
spin magnetization = 0.00 μB/cell

Please write out number 1 again, unchanged.
# CsCaP2S

A relaxed CsCaP2S crystal (GGA-PBEsol, Alexandria).

```
CsCaP2S
1.0
5.2445 0.0000 0.0000
0.0000 5.2445 0.0000
0.0000 0.0000 5.3075
Cs Ca P S
1 1 2 1
Cartesian
0.0000 0.0000 0.0000
2.6223 2.6223 2.6538
0.0000 2.6223 0.0000
2.6223 0.0000 0.0000
0.0000 0.0000 2.6538
```

Calculated values
total energy = -14.25 eV for the cell shown
crystal system = tetragonal
ρ = 3.0 g/cm3
raw formation energy = 0.958 eV per atom
spin magnetization = 0.00 μB/cell

> total energy of number 3 (ZnGaRhPb2)?

-19.89 eV for the cell shown